[1]
CrInReP | PBE-GGA | relaxed

Cell: 3.2002 2.9598 12.9467 Å, 90.00 90.00 90.00°
Space group Amm2 (No. 38)
Symmetry-distinct sites (fractional):
Cr  0.0000  0.0000  0.0000 [2 per cell]
In  0.5000  0.0000  0.3377 [2 per cell]
Re  0.0000  0.0000  0.6887 [2 per cell]
P  0.5000  0.0000  0.5604 [2 per cell]

Its energy relative to the elements is 0.110 eV/atom.

[2]
PmY3Ni8 | PBE-GGA | relaxed

Cell: 5.0961 5.0961 25.0356 Å, 90.00 90.00 120.00°
Space group R3m (No. 160, hexagonal axes)
Symmetry-distinct sites (fractional):
Pm  0.0000  0.0000  0.0000 [3 per cell]
Y  0.0000  0.0000  0.3754 [3 per cell]
Y  0.0000  0.0000  0.5001 [3 per cell]
Y  0.0000  0.0000  0.8749 [3 per cell]
Ni  0.0000  0.0000  0.1875 [3 per cell]
Ni  0.0000  0.0000  0.6878 [3 per cell]
Ni  0.9996  0.4998  0.9368 [9 per cell]
Ni  0.0016  0.5008  0.4382 [9 per cell]

Its energy relative to the elements is -0.398 eV/atom.

[3]
CePmTm2Bi4 | PBE-GGA | relaxed

Cell: 7.7978 4.5203 7.8248 Å, 90.00 109.51 90.00°
Space group P2/m (No. 10)
Symmetry-distinct sites (fractional):
Ce  0.0000  0.0000  0.0000 [1 per cell]
Pm  0.0000  0.5000  0.5000 [1 per cell]
Tm  0.5000  0.0000  0.5000 [1 per cell]
Tm  0.5000  0.5000  0.0000 [1 per cell]
Bi  0.2599  0.0000  0.7536 [2 per cell]
Bi  0.2601  0.5000  0.2534 [2 per cell]

Its energy relative to the elements is -0.824 eV/atom.

> Number 3 is which compound?

CePmTm2Bi4

> The highest energy relative to the elements belongs to which entry?

CrInReP

> What is the energy relative to the elements in the third record?

-0.824 eV/atom

> Which of these has the lowest energy relative to the elements?

CePmTm2Bi4